# 1
Here is MgHg2W after structural relaxation from the Alexandria database. Energies are from GGA-PBEsol.

a = 10.8238 Å, b = 2.9079 Å, c = 5.1585 Å
α = 90.00°, β = 115.41°, γ = 90.00°
Last column: nearest neighbours and their distance in Å.
Space group Cm (No. 8)
Unique sites:
Mg  0.0000  0.0000  0.0000 x2  7 Hg 2.86-3.00, 2 Mg 2.91, 3 W 2.97-3.08
Hg  0.2457  0.0000  0.9201 x2  3 Mg 2.86-2.98, 5 Hg 2.91-3.09, 4 W 2.92-3.00
Hg  0.4886  0.0000  0.4819 x2  3 W 2.87-2.95, 5 Hg 2.91-3.09, 4 Mg 2.93-3.00
W  0.2411  0.5000  0.4256 x2  7 Hg 2.87-3.00, 2 W 2.91, 3 Mg 2.97-3.08

Summary:
ΔH_f (0 K) = 371 meV/atom

---

# 2
Here is Mg2HgW after structural relaxation from the Alexandria database. Energies are from GGA-PBEsol.

a = 2.9937 Å, b = 4.8772 Å, c = 10.0366 Å
α = 90.00°, β = 90.00°, γ = 90.00°
Last column: nearest neighbours and their distance in Å.
Space group Imm2 (No. 44)
Unique sites:
Mg  0.0000  0.0000  0.0000 x2  4 Hg 2.86, 2 W 2.88, 4 Mg 2.99-3.09
Mg  0.0000  0.5000  0.2307 x2  2 Hg 2.86, 4 W 2.86, 4 Mg 2.99-3.09
Hg  0.0000  0.0000  0.4882 x2  6 Mg 2.86, 2 W 2.86, 2 Hg 2.99
W  0.0000  0.5000  0.7451 x2  2 Hg 2.86, 6 Mg 2.86-2.88, 2 W 2.99

Summary:
ΔH_f (0 K) = 469 meV/atom

---

# 3
Here is Mg2HgW after structural relaxation from the Alexandria database. Energies are from GGA-PBEsol.

a = 6.6755 Å, b = 6.6755 Å, c = 6.6755 Å
α = 90.00°, β = 90.00°, γ = 90.00°
Last column: nearest neighbours and their distance in Å.
Space group F-43m (No. 216)
Unique sites:
Mg  0.0000  0.0000  0.0000 x4  4 Hg 2.89, 4 Mg 2.89
Mg  0.2500  0.2500  0.2500 x4  4 W 2.89, 4 Mg 2.89
Hg  0.2500  0.2500  0.7500 x4  4 W 2.89, 4 Mg 2.89
W  0.0000  0.0000  0.5000 x4  4 Hg 2.89, 4 Mg 2.89

Summary:
ΔH_f (0 K) = 633 meV/atom

---

# 4
Here is MgHgW after structural relaxation from the Alexandria database. Energies are from GGA-PBEsol.

a = 6.2536 Å, b = 6.2536 Å, c = 6.2536 Å
α = 90.00°, β = 90.00°, γ = 90.00°
Last column: nearest neighbours and their distance in Å.
Space group F-43m (No. 216)
Unique sites:
Mg  0.0000  0.0000  0.0000 x4  4 Hg 2.71, 4 W 2.71
Hg  0.2500  0.2500  0.2500 x4  4 Mg 2.71
W  0.2500  0.2500  0.7500 x4  4 Mg 2.71

Summary:
ΔH_f (0 K) = 1461 meV/atom

---

# 5
Here is Y2MgHg after structural relaxation from the Alexandria database. Energies are from GGA-PBEsol.

a = 7.3895 Å, b = 7.3895 Å, c = 7.3895 Å
α = 90.00°, β = 90.00°, γ = 90.00°
Last column: nearest neighbours and their distance in Å.
Space group Fm-3m (No. 225)
Unique sites:
Y  0.2500  0.2500  0.2500 x8  4 Hg 3.20, 4 Mg 3.20
Mg  0.0000  0.0000  0.0000 x4  8 Y 3.20
Hg  0.0000  0.0000  0.5000 x4  8 Y 3.20

Summary:
ΔH_f (0 K) = -343 meV/atom

---

# 6
Here is Y3MgHg after structural relaxation from the Alexandria database. Energies are from GGA-PBEsol.

a = 5.5885 Å, b = 5.5885 Å, c = 5.5885 Å
α = 90.00°, β = 90.00°, γ = 90.00°
Last column: nearest neighbours and their distance in Å.
Space group Pm-3m (No. 221)
Unique sites:
Y  0.0000  0.0000  0.5000 x3  2 Hg 2.79
Mg  0.5000  0.5000  0.5000 x1  12 Y 3.95
Hg  0.0000  0.0000  0.0000 x1  6 Y 2.79

Summary:
ΔH_f (0 K) = 226 meV/atom

---

# 7
Here is Y4MgHg after structural relaxation from the Alexandria database. Energies are from GGA-PBEsol.

a = 8.8089 Å, b = 8.8089 Å, c = 8.8089 Å
α = 90.00°, β = 90.00°, γ = 90.00°
Last column: nearest neighbours and their distance in Å.
Space group F-43m (No. 216)
Unique sites:
Y  0.1252  0.1252  0.1252 x16  6 Y 3.11-3.12
Mg  0.2500  0.2500  0.7500 x4  12 Y 3.65, 4 Hg 3.81
Hg  0.0000  0.0000  0.5000 x4  12 Y 3.65, 4 Mg 3.81

Summary:
ΔH_f (0 K) = 281 meV/atom

---

# 8
Here is Y2MgHg2 after structural relaxation from the Alexandria database. Energies are from GGA-PBEsol.

a = 7.9311 Å, b = 7.9311 Å, c = 3.9614 Å
α = 90.00°, β = 90.00°, γ = 90.00°
Last column: nearest neighbours and their distance in Å.
Space group P4/mbm (No. 127)
Unique sites:
Y  0.1658  0.3342  0.0000 x4  6 Hg 2.99-3.11
Mg  0.0000  0.0000  0.5000 x2  4 Hg 3.09
Hg  0.1341  0.6341  0.5000 x4  6 Y 2.99-3.11, 1 Hg 3.01, 2 Mg 3.09

Summary:
ΔH_f (0 K) = -518 meV/atom

---

# 9
Here is YMgHg2 after structural relaxation from the Alexandria database. Energies are from GGA-PBEsol.

a = 4.9009 Å, b = 4.9009 Å, c = 3.7770 Å
α = 90.00°, β = 90.00°, γ = 90.00°
Last column: nearest neighbours and their distance in Å.
Space group P4/mmm (No. 123)
Unique sites:
Y  0.0000  0.0000  0.0000 x1  8 Hg 3.09
Mg  0.5000  0.5000  0.0000 x1  8 Hg 3.09
Hg  0.0000  0.5000  0.5000 x2  4 Mg 3.09, 4 Y 3.09

Summary:
ΔH_f (0 K) = -488 meV/atom

---

# 10
Here is YMgHg2 after structural relaxation from the Alexandria database. Energies are from GGA-PBEsol.

a = 4.3749 Å, b = 4.3749 Å, c = 9.6973 Å
α = 90.00°, β = 90.00°, γ = 90.00°
Last column: nearest neighbours and their distance in Å.
Space group I-4m2 (No. 119)
Unique sites:
Y  0.0000  0.0000  0.0000 x2  8 Hg 3.09-3.27, 4 Mg 3.27
Mg  0.0000  0.5000  0.7500 x2  8 Hg 3.09-3.27, 4 Y 3.27
Hg  0.0000  0.0000  0.5000 x2  4 Y 3.09, 4 Hg 3.27, 4 Mg 3.27
Hg  0.0000  0.5000  0.2500 x2  4 Mg 3.09, 4 Hg 3.27, 4 Y 3.27

Summary:
ΔH_f (0 K) = -323 meV/atom

---

# 11
Here is YMgHg after structural relaxation from the Alexandria database. Energies are from GGA-PBEsol.

a = 3.4410 Å, b = 3.4410 Å, c = 12.0584 Å
α = 90.00°, β = 90.00°, γ = 90.00°
Last column: nearest neighbours and their distance in Å.
Space group I4mm (No. 107)
Unique sites:
Y  0.0000  0.0000  0.0000 x2  4 Hg 3.14, 4 Mg 3.38, 4 Y 3.44
Mg  0.0000  0.0000  0.6950 x2  4 Hg 2.97
Hg  0.0000  0.0000  0.3356 x2  4 Mg 2.97, 4 Y 3.14

Summary:
ΔH_f (0 K) = -339 meV/atom

---

# 12
Here is Y2MgHg after structural relaxation from the Alexandria database. Energies are from GGA-PBEsol.

a = 3.5855 Å, b = 4.8100 Å, c = 6.2177 Å
α = 90.00°, β = 106.15°, γ = 90.00°
Last column: nearest neighbours and their distance in Å.
Space group Pm (No. 6)
Unique sites:
Y  0.0000  0.0000  0.0000 x1  4 Hg 3.18-3.19, 3 Mg 3.25-3.27
Y  0.3228  0.5000  0.6509 x1  3 Hg 3.16-3.34, 4 Mg 3.21-3.23
Mg  0.7250  0.0000  0.4559 x1  2 Hg 2.91, 6 Y 3.21-3.25
Hg  0.5899  0.5000  0.1803 x1  2 Mg 2.91, 5 Y 3.16-3.19

Summary:
ΔH_f (0 K) = -304 meV/atom